Run a
Entry from Alexandria via LeMat-Bulk: SiSbPb2 after structural relaxation (PBEsol).

Lattice parameters (Å, degrees): 8.4876 8.4876 8.4876 26.63 26.63 26.63
With the nearest neighbours (Å) after each atom.
Fractional coordinates of all 4 atoms:
Si 0.0000 0.0000 0.0000  3 Sb 2.66
Sb 0.7237 0.7237 0.7237  3 Si 2.66
Pb 0.2543 0.2543 0.2543  3 Si 2.98, 3 Pb 3.33
Pb 0.4882 0.4882 0.4882  3 Sb 3.29, 3 Pb 3.33

Computed properties:
**Space-group type**: R3m
**Magnetization**: 0.00 μB per formula unit

Run b
Entry from Alexandria via LeMat-Bulk: SiSbPb2 after structural relaxation (PBEsol).

Lattice parameters (Å, degrees): 3.5607 3.5607 8.0491 90.00 90.00 90.00
With the nearest neighbours (Å) after each atom.
Fractional coordinates of all 4 atoms:
Si 0.0000 0.0000 0.0000  4 Sb 2.85
Sb 0.5000 0.5000 0.8342  4 Si 2.85
Pb 0.0000 0.0000 0.5475  4 Sb 3.42, 8 Pb 3.50-3.56, 1 Si 3.64
Pb 0.5000 0.5000 0.2462  4 Si 3.20, 1 Sb 3.32, 8 Pb 3.50-3.56

Computed properties:
**Space-group type**: P4mm
**Magnetization**: 0.00 μB per formula unit

Run c
Entry from Alexandria via LeMat-Bulk: SiSbPb2 after structural relaxation (PBEsol).

Lattice parameters (Å, degrees): 5.2507 5.2507 5.2507 60.00 60.00 60.00
With the nearest neighbours (Å) after each atom.
Fractional coordinates of all 4 atoms:
Si 0.0000 0.0000 0.0000  8 Pb 3.22
Sb 0.5000 0.5000 0.5000  8 Pb 3.22
Pb 0.2500 0.2500 0.2500  4 Sb 3.22, 4 Si 3.22
Pb 0.7500 0.7500 0.7500  4 Sb 3.22, 4 Si 3.22

Computed properties:
**Space-group type**: Fm-3m
**Magnetization**: 0.00 μB per formula unit

Run d
Entry from Alexandria via LeMat-Bulk: SiSbPb2 after structural relaxation (PBEsol).

Lattice parameters (Å, degrees): 7.1372 7.1372 7.1372 150.02 143.56 47.88
With the nearest neighbours (Å) after each atom.
Fractional coordinates of all 4 atoms:
Si 0.0000 0.0000 0.0000  4 Sb 2.90, 4 Pb 3.02
Sb 0.5000 0.5000 0.0000  4 Si 2.90
Pb 0.1834 0.6834 0.5000  2 Si 3.02, 2 Sb 3.27, 4 Pb 3.38
Pb 0.8166 0.3166 0.5000  2 Si 3.02, 2 Sb 3.27, 4 Pb 3.38

Computed properties:
**Space-group type**: Immm
**Magnetization**: 0.00 μB per formula unit

The structure with the least stability is run c.

Run a
Entry from Alexandria via LeMat-Bulk: SiSb2Pb after structural relaxation (PBEsol).

Lattice parameters (Å, degrees): 4.6171 4.6171 4.6731 90.00 90.00 90.00
With the nearest neighbours (Å) after each atom.
Fractional coordinates of all 4 atoms:
Si 0.0000 0.0000 0.0000  4 Pb 3.26, 8 Sb 3.28
Sb 0.0000 0.5000 0.5000  4 Sb 3.26, 4 Pb 3.28, 4 Si 3.28
Sb 0.5000 0.0000 0.5000  4 Sb 3.26, 4 Pb 3.28, 4 Si 3.28
Pb 0.5000 0.5000 0.0000  4 Si 3.26, 8 Sb 3.28

Computed properties:
**Space-group type**: P4/mmm
**Magnetization**: 0.00 μB per formula unit

Run b
Entry from Alexandria via LeMat-Bulk: SiSb2Pb after structural relaxation (PBEsol).

Lattice parameters (Å, degrees): 5.1683 5.1683 5.1683 60.00 60.00 60.00
With the nearest neighbours (Å) after each atom.
Fractional coordinates of all 4 atoms:
Si 0.0000 0.0000 0.0000  4 Sb 3.16, 4 Pb 3.16
Sb 0.5000 0.5000 0.5000  4 Sb 3.16, 4 Pb 3.16
Sb 0.7500 0.7500 0.7500  4 Si 3.16, 4 Sb 3.16
Pb 0.2500 0.2500 0.2500  4 Sb 3.16, 4 Si 3.16

Computed properties:
**Space-group type**: F-43m
**Magnetization**: 0.00 μB per formula unit

The structure with the least stability is run a.

Run a
Entry from Alexandria via LeMat-Bulk: Ta2SbPb after structural relaxation (PBEsol).

Lattice parameters (Å, degrees): 5.0942 5.0942 5.0670 96.24 96.24 39.36
With the nearest neighbours (Å) after each atom.
Fractional coordinates of all 4 atoms:
Ta 0.2474 0.2474 0.2270  3 Sb 2.80-3.04, 2 Ta 2.88, 1 Pb 2.88
Ta 0.7526 0.7526 0.7730  3 Sb 2.80-3.04, 2 Ta 2.88, 1 Pb 2.88
Sb 0.5000 0.5000 0.0000  6 Ta 2.80-3.04, 4 Pb 3.06
Pb 0.0000 0.0000 0.5000  6 Ta 2.88-3.16, 4 Sb 3.06

Computed properties:
**Space-group type**: C2/m
**Magnetization**: 0.00 μB per formula unit

Run b
Entry from Alexandria via LeMat-Bulk: Ta2SbPb after structural relaxation (PBEsol).

Lattice parameters (Å, degrees): 5.6068 5.6068 5.6068 143.09 128.82 64.75
With the nearest neighbours (Å) after each atom.
Fractional coordinates of all 4 atoms:
Ta 0.0000 0.0000 0.0000  2 Ta 2.82, 2 Pb 2.99, 4 Sb 3.02
Ta 0.7681 0.2681 0.5000  2 Ta 2.82, 2 Sb 2.86, 4 Pb 3.01
Sb 0.5308 0.5308 0.0000  6 Ta 2.86-3.02, 2 Pb 3.17
Pb 0.2540 0.7540 0.5000  6 Ta 2.99-3.01, 4 Sb 3.17-3.21

Computed properties:
**Space-group type**: Imm2
**Magnetization**: 0.00 μB per formula unit

The structure with the least stability is run a.